# TaBe2Zn

Crystalline TaBe2Zn at its relaxed geometry (PBE-GGA, Alexandria via LeMat-Bulk).

* density: 8.6 g/cm3
* uncorrected energy: -4.85 eV/atom

Lattice parameters (Å, degrees): 4.632 4.632 4.632 133.67 133.67 67.60
Fractional coordinates of all 4 atoms:
Be (0.000, 0.000, 0.000)
Be (0.250, 0.750, 0.500)
Zn (0.750, 0.250, 0.500)
Ta (0.500, 0.500, 0.000)